Entry from the Alexandria database: crystalline MoRhW2 at its relaxed geometry (GGA-PBE).

Unit cell a=9.595 b=9.595 c=9.595 alpha=16.64 beta=16.64 gamma=16.64
Positions (direct):
Mo: 0.000 0.000 0.000
Rh: 0.500 0.500 0.500
W: 0.246 0.246 0.246
W: 0.754 0.754 0.754

Output
ΔE to the lowest computed polymorph   0.196 eV per atom
Size of the total moment   0.0 μB/f.u.
Energy of formation   20 kJ per mole of atoms



Entry from the Alexandria database: crystalline MoRhW4 at its relaxed geometry (GGA-PBE).

Unit cell a=5.209 b=5.209 c=5.209 alpha=60.00 beta=60.00 gamma=60.00
Positions (direct):
Mo: 0.000 0.000 0.000
Rh: 0.750 0.750 0.750
W: 0.374 0.374 0.374
W: 0.374 0.374 0.878
W: 0.374 0.878 0.374
W: 0.878 0.374 0.374

Output
Size of the total moment   0.0 μB/f.u.
Energy of formation   36 kJ per mole of atoms



Entry from the Alexandria database: crystalline MoRh2W at its relaxed geometry (GGA-PBE).

Unit cell a=4.815 b=4.815 c=4.801 alpha=99.57 beta=99.57 gamma=33.32
Positions (direct):
Mo: 0.000 0.000 0.000
Rh: 0.249 0.249 0.749
Rh: 0.751 0.751 0.251
W: 0.500 0.500 0.500

Output
ΔE to the lowest computed polymorph   0.157 eV per atom
Size of the total moment   0.0 μB/f.u.
Energy of formation   -2 kJ per mole of atoms



Entry from the Alexandria database: crystalline MoRh2W at its relaxed geometry (GGA-PBE).

Unit cell a=5.621 b=5.621 c=5.621 alpha=103.28 beta=103.28 gamma=122.73
Positions (direct):
Mo: 0.000 0.000 0.000
Mo: 0.750 0.250 0.500
Rh: 0.134 0.625 0.009
Rh: 0.375 0.384 0.509
Rh: 0.616 0.125 0.991
Rh: 0.875 0.866 0.491
W: 0.250 0.750 0.500
W: 0.500 0.500 0.000

Output
ΔE to the lowest computed polymorph   0.687 eV per atom
Size of the total moment   0.0 μB/f.u.
Energy of formation   49 kJ per mole of atoms



Entry from the Alexandria database: crystalline MoRh2W at its relaxed geometry (GGA-PBE).

Unit cell a=4.413 b=4.413 c=4.413 alpha=60.00 beta=60.00 gamma=60.00
Positions (direct):
Mo: 0.000 0.000 0.000
Rh: 0.500 0.500 0.500
Rh: 0.750 0.750 0.750
W: 0.250 0.250 0.250

Output
ΔE to the lowest computed polymorph   0.288 eV per atom
Size of the total moment   0.0 μB/f.u.
Energy of formation   10 kJ per mole of atoms



Entry from the Alexandria database: crystalline MoRh3W at its relaxed geometry (GGA-PBE).

Unit cell a=6.909 b=6.909 c=4.883 alpha=90.00 beta=90.00 gamma=136.16
Positions (direct):
Mo: 0.047 0.953 0.750
Mo: 0.953 0.047 0.250
Rh: 0.094 0.401 0.750
Rh: 0.401 0.094 0.250
Rh: 0.500 0.500 0.000
Rh: 0.500 0.500 0.500
Rh: 0.599 0.906 0.750
Rh: 0.906 0.599 0.250
W: 0.320 0.680 0.250
W: 0.680 0.320 0.750

Output
ΔE to the lowest computed polymorph   0.000 eV per atom
Size of the total moment   0.0 μB/f.u.
Energy of formation   29 kJ per mole of atoms



Entry from the Alexandria database: crystalline MoRh2W at its relaxed geometry (GGA-PBE).

Unit cell a=4.802 b=4.802 c=4.802 alpha=132.19 beta=132.19 gamma=69.94
Positions (direct):
Mo: 0.000 0.000 0.000
Rh: 0.250 0.750 0.500
Rh: 0.750 0.250 0.500
W: 0.500 0.500 0.000

Output
ΔE to the lowest computed polymorph   0.000 eV per atom
Size of the total moment   0.0 μB/f.u.
Energy of formation   -17 kJ per mole of atoms



Entry from the Alexandria database: crystalline MoRhW2 at its relaxed geometry (GGA-PBE).

Unit cell a=2.735 b=2.735 c=8.666 alpha=90.00 beta=90.00 gamma=105.44
Positions (direct):
Mo: 0.000 0.000 0.000
Rh: 0.500 0.500 0.757
W: 0.000 0.000 0.516
W: 0.500 0.500 0.257

Output
ΔE to the lowest computed polymorph   0.000 eV per atom
Size of the total moment   0.0 μB/f.u.
Energy of formation   1 kJ per mole of atoms



Entry from the Alexandria database: crystalline MoRh2W at its relaxed geometry (GGA-PBE).

Unit cell a=2.768 b=2.768 c=7.910 alpha=90.00 beta=90.00 gamma=90.00
Positions (direct):
Mo: 0.000 0.000 0.000
Rh: 0.000 0.000 0.493
Rh: 0.500 0.500 0.234
W: 0.500 0.500 0.728

Output
ΔE to the lowest computed polymorph   0.101 eV per atom
Size of the total moment   0.0 μB/f.u.
Energy of formation   -8 kJ per mole of atoms



Entry from the Alexandria database: crystalline MoRhW2 at its relaxed geometry (GGA-PBE).

Unit cell a=5.114 b=5.114 c=5.114 alpha=142.35 beta=128.70 gamma=65.35
Positions (direct):
Mo: 0.000 0.000 0.000
Rh: 0.500 0.500 0.000
W: 0.240 0.740 0.500
W: 0.760 0.260 0.500

Output
ΔE to the lowest computed polymorph   0.091 eV per atom
Size of the total moment   0.0 μB/f.u.
Energy of formation   10 kJ per mole of atoms



Entry from the Alexandria database: crystalline MoRh2W2 at its relaxed geometry (GGA-PBE).

Unit cell a=7.579 b=7.579 c=2.754 alpha=90.00 beta=90.00 gamma=90.00
Positions (direct):
Mo: 0.000 0.000 0.000
Mo: 0.500 0.500 0.000
Rh: 0.125 0.375 0.000
Rh: 0.375 0.875 0.000
Rh: 0.625 0.125 0.000
Rh: 0.875 0.625 0.000
W: 0.172 0.672 0.500
W: 0.328 0.172 0.500
W: 0.672 0.828 0.500
W: 0.828 0.328 0.500

Output
ΔE to the lowest computed polymorph   0.000 eV per atom
Size of the total moment   0.0 μB/f.u.
Energy of formation   13 kJ per mole of atoms



Entry from the Alexandria database: crystalline MoRh2W at its relaxed geometry (GGA-PBE).

Unit cell a=4.799 b=4.799 c=2.759 alpha=90.00 beta=90.00 gamma=110.06
Positions (direct):
Mo: 0.000 0.000 0.000
Rh: 0.000 0.500 0.500
Rh: 0.500 0.000 0.500
W: 0.500 0.500 0.000

Output
ΔE to the lowest computed polymorph   0.006 eV per atom
Size of the total moment   0.0 μB/f.u.
Energy of formation   -17 kJ per mole of atoms



Entry from the Alexandria database: crystalline MoRhW2 at its relaxed geometry (GGA-PBE).

Unit cell a=5.243 b=5.243 c=2.712 alpha=100.32 beta=100.32 gamma=116.61
Positions (direct):
Mo: 0.000 0.000 0.000
Rh: 0.500 0.500 0.000
W: 0.000 0.500 0.500
W: 0.500 0.000 0.500

Output
ΔE to the lowest computed polymorph   0.085 eV per atom
Size of the total moment   0.0 μB/f.u.
Energy of formation   10 kJ per mole of atoms



Entry from the Alexandria database: crystalline Mo5Rh6W at its relaxed geometry (GGA-PBE).

Unit cell a=6.145 b=6.145 c=7.854 alpha=90.00 beta=90.00 gamma=143.03
Positions (direct):
Mo: 0.000 0.000 0.000
Mo: 0.333 0.667 0.500
Mo: 0.334 0.666 0.000
Mo: 0.666 0.334 0.000
Mo: 0.667 0.333 0.500
Rh: 0.167 0.833 0.250
Rh: 0.167 0.833 0.750
Rh: 0.500 0.500 0.251
Rh: 0.500 0.500 0.749
Rh: 0.833 0.167 0.250
Rh: 0.833 0.167 0.750
W: 0.000 0.000 0.500

Output
Size of the total moment   0.0 μB/f.u.
Energy of formation   -18 kJ per mole of atoms



Entry from the Alexandria database: crystalline MoRh2W at its relaxed geometry (GGA-PBE).

Unit cell a=9.264 b=9.264 c=9.264 alpha=17.26 beta=17.26 gamma=17.26
Positions (direct):
Mo: 0.000 0.000 0.000
Rh: 0.497 0.497 0.497
Rh: 0.744 0.744 0.744
W: 0.242 0.242 0.242

Output
ΔE to the lowest computed polymorph   0.181 eV per atom
Size of the total moment   0.0 μB/f.u.
Energy of formation   0 kJ per mole of atoms



Entry from the Alexandria database: crystalline MoRhW2 at its relaxed geometry (GGA-PBE).

Unit cell a=4.905 b=4.905 c=4.905 alpha=132.67 beta=132.67 gamma=69.17
Positions (direct):
Mo: 0.000 0.000 0.000
Rh: 0.250 0.750 0.500
W: 0.500 0.500 0.000
W: 0.750 0.250 0.500

Output
ΔE to the lowest computed polymorph   0.114 eV per atom
Size of the total moment   0.0 μB/f.u.
Energy of formation   12 kJ per mole of atoms



Entry from the Alexandria database: crystalline MoRh2W at its relaxed geometry (GGA-PBE).

Unit cell a=3.351 b=3.351 c=5.460 alpha=90.00 beta=90.00 gamma=90.00
Positions (direct):
Mo: 0.000 0.000 0.000
Rh: 0.500 0.500 0.251
Rh: 0.500 0.500 0.749
W: 0.000 0.000 0.500

Output
ΔE to the lowest computed polymorph   0.330 eV per atom
Size of the total moment   0.0 μB/f.u.
Energy of formation   14 kJ per mole of atoms



Entry from the Alexandria database: crystalline MoRhW2 at its relaxed geometry (GGA-PBE).

Unit cell a=6.979 b=6.979 c=6.979 alpha=131.47 beta=131.47 gamma=71.07
Positions (direct):
Mo: 0.000 0.000 0.000
Mo: 0.750 0.250 0.500
Rh: 0.250 0.750 0.500
Rh: 0.500 0.500 0.000
W: 0.136 0.625 0.011
W: 0.375 0.386 0.511
W: 0.614 0.125 0.989
W: 0.875 0.864 0.489

Output
ΔE to the lowest computed polymorph   1.805 eV per atom
Size of the total moment   0.0 μB/f.u.
Energy of formation   176 kJ per mole of atoms



Entry from the Alexandria database: crystalline MoRh2W at its relaxed geometry (GGA-PBE).

Unit cell a=4.430 b=4.430 c=4.430 alpha=60.00 beta=60.00 gamma=60.00
Positions (direct):
Mo: 0.000 0.000 0.000
Rh: 0.250 0.250 0.250
Rh: 0.750 0.750 0.750
W: 0.500 0.500 0.500

Output
ΔE to the lowest computed polymorph   0.516 eV per atom
Size of the total moment   0.0 μB/f.u.
Energy of formation   32 kJ per mole of atoms



Entry from the Alexandria database: crystalline MoRhW2 at its relaxed geometry (GGA-PBE).

Unit cell a=4.881 b=4.881 c=4.941 alpha=98.73 beta=98.73 gamma=32.62
Positions (direct):
Mo: 0.000 0.000 0.000
Rh: 0.741 0.741 0.245
W: 0.240 0.240 0.746
W: 0.481 0.481 0.487

Output
ΔE to the lowest computed polymorph   0.095 eV per atom
Size of the total moment   0.0 μB/f.u.
Energy of formation   11 kJ per mole of atoms



Entry from the Alexandria database: crystalline MoRhW2 at its relaxed geometry (GGA-PBE).

Unit cell a=4.902 b=4.902 c=2.758 alpha=90.00 beta=90.00 gamma=109.24
Positions (direct):
Mo: 0.000 0.000 0.000
Rh: 0.500 0.500 0.000
W: 0.000 0.500 0.500
W: 0.500 0.000 0.500

Output
ΔE to the lowest computed polymorph   0.110 eV per atom
Size of the total moment   0.0 μB/f.u.
Energy of formation   12 kJ per mole of atoms



Entry from the Alexandria database: crystalline MoRhW2 at its relaxed geometry (GGA-PBE).

Unit cell a=4.463 b=4.463 c=4.463 alpha=60.00 beta=60.00 gamma=60.00
Positions (direct):
Mo: 0.000 0.000 0.000
Rh: 0.500 0.500 0.500
W: 0.250 0.250 0.250
W: 0.750 0.750 0.750

Output
ΔE to the lowest computed polymorph   0.206 eV per atom
Size of the total moment   0.0 μB/f.u.
Energy of formation   21 kJ per mole of atoms



Entry from the Alexandria database: crystalline MoRhW2 at its relaxed geometry (GGA-PBE).

Unit cell a=2.721 b=2.721 c=8.477 alpha=90.00 beta=90.00 gamma=90.00
Positions (direct):
Mo: 0.000 0.000 0.000
Rh: 0.500 0.500 0.235
W: 0.000 0.000 0.467
W: 0.500 0.500 0.733

Output
ΔE to the lowest computed polymorph   0.058 eV per atom
Size of the total moment   0.0 μB/f.u.
Energy of formation   7 kJ per mole of atoms



Entry from the Alexandria database: crystalline MoRhW2 at its relaxed geometry (GGA-PBE).

Unit cell a=2.715 b=4.449 c=5.251 alpha=90.00 beta=99.21 gamma=90.00
Positions (direct):
Mo: 0.000 0.000 0.000
Rh: 0.500 0.000 0.500
W: 0.227 0.500 0.752
W: 0.773 0.500 0.248

Output
ΔE to the lowest computed polymorph   0.072 eV per atom
Size of the total moment   0.0 μB/f.u.
Energy of formation   8 kJ per mole of atoms



Entry from the Alexandria database: crystalline MoRhW2 at its relaxed geometry (GGA-PBE).

Unit cell a=2.709 b=4.045 c=5.734 alpha=90.00 beta=90.00 gamma=90.00
Positions (direct):
Mo: 0.000 0.000 0.000
Rh: 0.500 0.500 0.244
W: 0.000 0.000 0.484
W: 0.500 0.500 0.744

Output
ΔE to the lowest computed polymorph   0.119 eV per atom
Size of the total moment   0.0 μB/f.u.
Energy of formation   13 kJ per mole of atoms



Entry from the Alexandria database: crystalline MoRh2W at its relaxed geometry (GGA-PBE).

Unit cell a=3.258 b=3.258 c=5.757 alpha=90.00 beta=90.00 gamma=90.00
Positions (direct):
Mo: 0.000 0.000 0.000
Rh: 0.000 0.000 0.499
Rh: 0.500 0.500 0.222
W: 0.500 0.500 0.722

Output
ΔE to the lowest computed polymorph   0.197 eV per atom
Size of the total moment   0.0 μB/f.u.
Energy of formation   2 kJ per mole of atoms



Entry from the Alexandria database: crystalline MoRh2W at its relaxed geometry (GGA-PBE).

Unit cell a=2.749 b=3.930 c=5.528 alpha=90.00 beta=90.00 gamma=90.00
Positions (direct):
Mo: 0.000 0.000 0.000
Rh: 0.500 0.500 0.250
Rh: 0.500 0.500 0.750
W: 0.000 0.000 0.500

Output
ΔE to the lowest computed polymorph   0.007 eV per atom
Size of the total moment   0.0 μB/f.u.
Energy of formation   -17 kJ per mole of atoms



Entry from the Alexandria database: crystalline MoRhW2 at its relaxed geometry (GGA-PBE).

Unit cell a=4.470 b=4.470 c=4.470 alpha=60.00 beta=60.00 gamma=60.00
Positions (direct):
Mo: 0.000 0.000 0.000
Rh: 0.250 0.250 0.250
W: 0.500 0.500 0.500
W: 0.750 0.750 0.750

Output
ΔE to the lowest computed polymorph   0.203 eV per atom
Size of the total moment   1.0 μB/f.u.
Energy of formation   21 kJ per mole of atoms



Entry from the Alexandria database: crystalline MoRhW2 at its relaxed geometry (GGA-PBE).

Unit cell a=2.712 b=4.051 c=5.714 alpha=90.00 beta=90.00 gamma=90.00
Positions (direct):
Mo: 0.000 0.000 0.000
Rh: 0.000 0.000 0.500
W: 0.500 0.500 0.257
W: 0.500 0.500 0.743

Output
ΔE to the lowest computed polymorph   0.120 eV per atom
Size of the total moment   0.0 μB/f.u.
Energy of formation   13 kJ per mole of atoms